Record 1
The following is a PBE calculation of an optimized crystal structure of CaTa2Cl, from Alexandria.

Structure (CIF):
```
data_CaTa2Cl
_cell_length_a 3.4120
_cell_length_b 3.4120
_cell_length_c 8.7842
_cell_angle_alpha 90.00
_cell_angle_beta 90.00
_cell_angle_gamma 90.00
_symmetry_space_group_name_H-M 'P 4 m m'
_symmetry_Int_Tables_number 99
loop_
_symmetry_equiv_pos_as_xyz
'x,y,z'
'-y,x,z'
'-x,-y,z'
'y,-x,z'
'-x,y,z'
'y,x,z'
'x,-y,z'
'-y,-x,z'
loop_
_atom_site_label
_atom_site_fract_x
_atom_site_fract_y
_atom_site_fract_z
_atom_site_occupancy
Ca1 0.0000 0.0000 0.0000 1
Ta1 0.0000 0.0000 0.5861 1
Ta2 0.5000 0.5000 0.7281 1
Cl1 0.5000 0.5000 0.1719 1
```

Output
Crystal system: tetragonal
D(E_F), states/eV per cell: 3.863
Relative energy among the computed polymorphs, eV/atom: 0.036

***

Record 2
The following is a PBE calculation of an optimized crystal structure of CaTaCl2, from Alexandria.

Structure (CIF):
```
data_CaTaCl2
_cell_length_a 6.7454
_cell_length_b 6.7454
_cell_length_c 6.7454
_cell_angle_alpha 90.00
_cell_angle_beta 90.00
_cell_angle_gamma 90.00
_symmetry_space_group_name_H-M 'F m -3 m'
_symmetry_Int_Tables_number 225
_symmetry_space_group_name_Hall '-F 4 2 3'
loop_
_atom_site_label
_atom_site_fract_x
_atom_site_fract_y
_atom_site_fract_z
_atom_site_occupancy
Ca1 0.0000 0.0000 0.0000 1
Ta1 0.0000 0.0000 0.5000 1
Cl1 0.2500 0.2500 0.2500 1
```

Output
Crystal system: cubic
D(E_F), states/eV per cell: 8.140
Relative energy among the computed polymorphs, eV/atom: 0.720

***

Record 3
The following is a PBE calculation of an optimized crystal structure of CaTa2Cl, from Alexandria.

Structure (CIF):
```
data_CaTa2Cl
_cell_length_a 3.3971
_cell_length_b 3.3971
_cell_length_c 26.9689
_cell_angle_alpha 90.00
_cell_angle_beta 90.00
_cell_angle_gamma 120.00
_symmetry_space_group_name_H-M 'R 3 m'
_symmetry_Int_Tables_number 160
_symmetry_space_group_name_Hall 'R 3 -2"'
loop_
_atom_site_label
_atom_site_fract_x
_atom_site_fract_y
_atom_site_fract_z
_atom_site_occupancy
Ca1 0.0000 0.0000 0.0000 1
Ta1 0.0000 0.0000 0.2332 1
Ta2 0.0000 0.0000 0.4994 1
Cl1 0.0000 0.0000 0.7421 1
```

Output
Crystal system: trigonal
D(E_F), states/eV per cell: 10.739
Relative energy among the computed polymorphs, eV/atom: 0.098

***

Record 4
The following is a PBE calculation of an optimized crystal structure of CaTaCl2, from Alexandria.

Structure (CIF):
```
data_CaTaCl2
_cell_length_a 3.2367
_cell_length_b 3.2367
_cell_length_c 9.1171
_cell_angle_alpha 90.00
_cell_angle_beta 90.00
_cell_angle_gamma 90.00
_symmetry_space_group_name_H-M 'P 4 m m'
_symmetry_Int_Tables_number 99
loop_
_symmetry_equiv_pos_as_xyz
'x,y,z'
'-y,x,z'
'-x,-y,z'
'y,-x,z'
'-x,y,z'
'y,x,z'
'x,-y,z'
'-y,-x,z'
loop_
_atom_site_label
_atom_site_fract_x
_atom_site_fract_y
_atom_site_fract_z
_atom_site_occupancy
Ca1 0.0000 0.0000 0.0000 1
Ta1 0.5000 0.5000 0.7158 1
Cl1 0.0000 0.0000 0.5650 1
Cl2 0.5000 0.5000 0.1696 1
```

Output
Crystal system: tetragonal
D(E_F), states/eV per cell: 2.580
Relative energy among the computed polymorphs, eV/atom: 0.000

***

Record 5
The following is a PBE calculation of an optimized crystal structure of CaTa2Cl, from Alexandria.

Structure (CIF):
```
data_CaTa2Cl
_cell_length_a 5.2283
_cell_length_b 11.7433
_cell_length_c 3.0408
_cell_angle_alpha 90.00
_cell_angle_beta 90.00
_cell_angle_gamma 90.00
_symmetry_space_group_name_H-M 'C m m m'
_symmetry_Int_Tables_number 65
_symmetry_space_group_name_Hall '-C 2 2'
loop_
_atom_site_label
_atom_site_fract_x
_atom_site_fract_y
_atom_site_fract_z
_atom_site_occupancy
Ca1 0.0000 0.0000 0.0000 1
Ta1 0.2500 0.2500 0.5000 1
Cl1 0.0000 0.5000 0.0000 1
```

Output
Crystal system: orthorhombic
D(E_F), states/eV per cell: 10.749
Relative energy among the computed polymorphs, eV/atom: 0.804

***

Record 6
The following is a PBE calculation of an optimized crystal structure of CaTaCl2, from Alexandria.

Structure (CIF):
```
data_CaTaCl2
_cell_length_a 10.7694
_cell_length_b 3.2033
_cell_length_c 5.7788
_cell_angle_alpha 90.00
_cell_angle_beta 108.58
_cell_angle_gamma 90.00
_symmetry_space_group_name_H-M 'C 1 2/m 1'
_symmetry_Int_Tables_number 12
loop_
_symmetry_equiv_pos_as_xyz
'x,y,z'
'-x,-y,-z'
'-x,y,-z'
'x,-y,z'
'x+1/2,y+1/2,z'
'-x+1/2,-y+1/2,-z'
'-x+1/2,y+1/2,-z'
'x+1/2,-y+1/2,z'
loop_
_atom_site_label
_atom_site_fract_x
_atom_site_fract_y
_atom_site_fract_z
_atom_site_occupancy
Ca1 0.0000 0.0000 0.0000 1
Ta1 0.0000 0.5000 0.5000 1
Cl1 0.1829 0.0000 0.7172 1
```

Output
Crystal system: monoclinic
D(E_F), states/eV per cell: 4.789
Relative energy among the computed polymorphs, eV/atom: 0.238

***

Record 7
The following is a PBE calculation of an optimized crystal structure of CaTa2Cl, from Alexandria.

Structure (CIF):
```
data_CaTa2Cl
_cell_length_a 3.8105
_cell_length_b 5.0557
_cell_length_c 10.1618
_cell_angle_alpha 90.00
_cell_angle_beta 90.00
_cell_angle_gamma 90.00
_symmetry_space_group_name_H-M 'C m m 2'
_symmetry_Int_Tables_number 35
loop_
_symmetry_equiv_pos_as_xyz
'x,y,z'
'-x,-y,z'
'-x,y,z'
'x,-y,z'
'x+1/2,y+1/2,z'
'-x+1/2,-y+1/2,z'
'-x+1/2,y+1/2,z'
'x+1/2,-y+1/2,z'
loop_
_atom_site_label
_atom_site_fract_x
_atom_site_fract_y
_atom_site_fract_z
_atom_site_occupancy
Ca1 0.0000 0.0000 0.0000 1
Ta1 0.0000 0.0000 0.4478 1
Ta2 0.0000 0.5000 0.2671 1
Cl1 0.0000 0.5000 0.8277 1
```

Output
Crystal system: orthorhombic
D(E_F), states/eV per cell: 7.190
Relative energy among the computed polymorphs, eV/atom: 0.057

***

Record 8
The following is a PBE calculation of an optimized crystal structure of CaTaCl2, from Alexandria.

Structure (CIF):
```
data_CaTaCl2
_cell_length_a 3.1619
_cell_length_b 6.1091
_cell_length_c 9.2886
_cell_angle_alpha 90.00
_cell_angle_beta 90.00
_cell_angle_gamma 90.00
_symmetry_space_group_name_H-M 'I m m m'
_symmetry_Int_Tables_number 71
_symmetry_space_group_name_Hall '-I 2 2'
loop_
_atom_site_label
_atom_site_fract_x
_atom_site_fract_y
_atom_site_fract_z
_atom_site_occupancy
Ca1 0.0000 0.0000 0.0000 1
Ta1 0.0000 0.0000 0.5000 1
Cl1 0.0000 0.5000 0.2140 1
```

Output
Crystal system: orthorhombic
D(E_F), states/eV per cell: 3.762
Relative energy among the computed polymorphs, eV/atom: 0.238

***

Record 9
The following is a PBE calculation of an optimized crystal structure of CaTaCl2, from Alexandria.

Structure (CIF):
```
data_CaTaCl2
_cell_length_a 6.8095
_cell_length_b 6.8284
_cell_length_c 3.2031
_cell_angle_alpha 90.00
_cell_angle_beta 90.00
_cell_angle_gamma 90.00
_symmetry_space_group_name_H-M 'C m m m'
_symmetry_Int_Tables_number 65
_symmetry_space_group_name_Hall '-C 2 2'
loop_
_atom_site_label
_atom_site_fract_x
_atom_site_fract_y
_atom_site_fract_z
_atom_site_occupancy
Ca1 0.0000 0.0000 0.0000 1
Ta1 0.0000 0.5000 0.0000 1
Cl1 0.2500 0.2500 0.5000 1
```

Output
Crystal system: orthorhombic
D(E_F), states/eV per cell: 5.246
Relative energy among the computed polymorphs, eV/atom: 0.603

***

Record 10
The following is a PBE calculation of an optimized crystal structure of CaTa2Cl, from Alexandria.

Structure (CIF):
```
data_CaTa2Cl
_cell_length_a 3.2193
_cell_length_b 5.0527
_cell_length_c 10.0037
_cell_angle_alpha 90.00
_cell_angle_beta 90.00
_cell_angle_gamma 90.00
_symmetry_space_group_name_H-M 'C m m m'
_symmetry_Int_Tables_number 65
_symmetry_space_group_name_Hall '-C 2 2'
loop_
_atom_site_label
_atom_site_fract_x
_atom_site_fract_y
_atom_site_fract_z
_atom_site_occupancy
Ca1 0.0000 0.0000 0.0000 1
Ta1 0.0000 0.5000 0.2801 1
Cl1 0.0000 0.0000 0.5000 1
```

Output
Crystal system: orthorhombic
D(E_F), states/eV per cell: 10.741
Relative energy among the computed polymorphs, eV/atom: 0.718

***

Record 11
The following is a PBE calculation of an optimized crystal structure of CaTa2Cl, from Alexandria.

Structure (CIF):
```
data_CaTa2Cl
_cell_length_a 6.9548
_cell_length_b 6.9548
_cell_length_c 6.9548
_cell_angle_alpha 90.00
_cell_angle_beta 90.00
_cell_angle_gamma 90.00
_symmetry_space_group_name_H-M 'F m -3 m'
_symmetry_Int_Tables_number 225
_symmetry_space_group_name_Hall '-F 4 2 3'
loop_
_atom_site_label
_atom_site_fract_x
_atom_site_fract_y
_atom_site_fract_z
_atom_site_occupancy
Ca1 0.0000 0.0000 0.0000 1
Ta1 0.2500 0.2500 0.2500 1
Cl1 0.0000 0.0000 0.5000 1
```

Output
Crystal system: cubic
D(E_F), states/eV per cell: 22.359
Relative energy among the computed polymorphs, eV/atom: 1.642

***

Record 12
The following is a PBE calculation of an optimized crystal structure of CaTaCl2, from Alexandria.

Structure (CIF):
```
data_CaTaCl2
_cell_length_a 3.2293
_cell_length_b 4.2871
_cell_length_c 5.9601
_cell_angle_alpha 90.00
_cell_angle_beta 91.60
_cell_angle_gamma 90.00
_symmetry_space_group_name_H-M 'P 1 2/m 1'
_symmetry_Int_Tables_number 10
loop_
_symmetry_equiv_pos_as_xyz
'x,y,z'
'-x,-y,-z'
'-x,y,-z'
'x,-y,z'
loop_
_atom_site_label
_atom_site_fract_x
_atom_site_fract_y
_atom_site_fract_z
_atom_site_occupancy
Ca1 0.0000 0.0000 0.0000 1
Ta1 0.5000 0.0000 0.5000 1
Cl1 0.4597 0.5000 0.2615 1
```

Output
Crystal system: monoclinic
D(E_F), states/eV per cell: 2.558
Relative energy among the computed polymorphs, eV/atom: 0.218

***

Record 13
The following is a PBE calculation of an optimized crystal structure of CaTaCl2, from Alexandria.

Structure (CIF):
```
data_CaTaCl2
_cell_length_a 10.7936
_cell_length_b 3.2239
_cell_length_c 6.9530
_cell_angle_alpha 90.00
_cell_angle_beta 120.14
_cell_angle_gamma 90.00
_symmetry_space_group_name_H-M 'C 1 m 1'
_symmetry_Int_Tables_number 8
loop_
_symmetry_equiv_pos_as_xyz
'x,y,z'
'x,-y,z'
'x+1/2,y+1/2,z'
'x+1/2,-y+1/2,z'
loop_
_atom_site_label
_atom_site_fract_x
_atom_site_fract_y
_atom_site_fract_z
_atom_site_occupancy
Ca1 0.0000 0.0000 0.0000 1
Ta1 0.2957 0.5000 0.2417 1
Cl1 0.2518 0.0000 0.9221 1
Cl2 0.3989 0.0000 0.5641 1
```

Output
Crystal system: monoclinic
D(E_F), states/eV per cell: 2.564
Relative energy among the computed polymorphs, eV/atom: 0.278

***

Record 14
The following is a PBE calculation of an optimized crystal structure of CaTa3Cl, from Alexandria.

Structure (CIF):
```
data_CaTa3Cl
_cell_length_a 4.9150
_cell_length_b 4.9150
_cell_length_c 4.9150
_cell_angle_alpha 90.00
_cell_angle_beta 90.00
_cell_angle_gamma 90.00
_symmetry_space_group_name_H-M 'P m -3 m'
_symmetry_Int_Tables_number 221
_symmetry_space_group_name_Hall '-P 4 2 3'
loop_
_atom_site_label
_atom_site_fract_x
_atom_site_fract_y
_atom_site_fract_z
_atom_site_occupancy
Ca1 0.0000 0.0000 0.0000 1
Ta1 0.0000 0.0000 0.5000 1
Cl1 0.5000 0.5000 0.5000 1
```

Output
Crystal system: cubic
D(E_F), states/eV per cell: 7.273
Relative energy among the computed polymorphs, eV/atom: 1.944

***

Record 15
The following is a PBE calculation of an optimized crystal structure of CaTa2Cl, from Alexandria.

Structure (CIF):
```
data_CaTa2Cl
_cell_length_a 3.0569
_cell_length_b 3.0569
_cell_length_c 10.7388
_cell_angle_alpha 90.00
_cell_angle_beta 90.00
_cell_angle_gamma 90.00
_symmetry_space_group_name_H-M 'P 4 m m'
_symmetry_Int_Tables_number 99
loop_
_symmetry_equiv_pos_as_xyz
'x,y,z'
'-y,x,z'
'-x,-y,z'
'y,-x,z'
'-x,y,z'
'y,x,z'
'x,-y,z'
'-y,-x,z'
loop_
_atom_site_label
_atom_site_fract_x
_atom_site_fract_y
_atom_site_fract_z
_atom_site_occupancy
Ca1 0.0000 0.0000 0.0000 1
Ta1 0.0000 0.0000 0.5605 1
Ta2 0.5000 0.5000 0.7435 1
Cl1 0.5000 0.5000 0.1517 1
```

Output
Crystal system: tetragonal
D(E_F), states/eV per cell: 4.691
Relative energy among the computed polymorphs, eV/atom: 0.136

***

| no. | electronic total energy (eV per atom) | ρ (g cm⁻³) | spin magnetization (μB/atom) |
| --- | --- | --- | --- |
| 1 | -6.971 | 7.103 | 0.000 |
| 2 | -4.361 | 6.318 | 0.197 |
| 3 | -6.909 | 8.085 | 0.000 |
| 4 | -5.080 | 5.075 | 0.158 |
| 5 | -6.203 | 7.781 | 0.000 |
| 6 | -4.842 | 5.131 | 0.201 |
| 7 | -6.951 | 7.421 | 0.000 |
| 8 | -4.842 | 5.404 | 0.172 |
| 9 | -4.477 | 6.510 | 0.000 |
| 10 | -6.289 | 8.928 | 0.000 |
| 11 | -5.366 | 8.637 | 0.501 |
| 12 | -4.862 | 5.877 | 0.000 |
| 13 | -4.803 | 4.634 | 0.274 |
| 14 | -5.083 | 8.648 | 0.000 |
| 15 | -6.871 | 7.238 | 0.000 |